Entry from the Alexandria database: crystalline RbTa2Nb at its relaxed geometry (PBE).

The structure in CIF format:
```
data_RbTa2Nb
_chemical_formula_sum 'Rb2 Ta4 Nb2'
_symmetry_space_group_name_H-M 'P 1'
_symmetry_Int_Tables_number 1
_cell_length_a 4.884
_cell_length_b 4.884
_cell_length_c 10.114
_cell_angle_alpha 76.03
_cell_angle_beta 76.03
_cell_angle_gamma 90.00
loop_
_symmetry_equiv_pos_as_xyz
'x,y,z'
loop_
_atom_site_label
_atom_site_type_symbol
_atom_site_fract_x
_atom_site_fract_y
_atom_site_fract_z
Nb1 Nb 0.000 0.000 0.000
Nb2 Nb 0.750 0.250 0.500
Rb1 Rb 0.500 0.500 0.000
Rb2 Rb 0.250 0.750 0.500
Ta1 Ta 0.763 0.125 0.250
Ta2 Ta 0.987 0.625 0.250
Ta3 Ta 0.375 0.237 0.750
Ta4 Ta 0.875 0.013 0.750
```

Computed properties:
Total energy in eV per formula unit: -26.85
Energy relative to the lowest polymorph listed for this composition in eV per formula unit: 1.174
DOS at the Fermi energy in states/eV/f.u.: 3.71
Formation enthalpy at 0 K in eV per atom: 1.974